(1)
Computed, not measured: crystalline CdHgOs at its relaxed geometry at the PBE level of DFT.

Computed properties:
calculated formation energy: 1.327 eV/atom
M_tot: 1.01 μB/f.u.

a = 4.5064 Å, b = 4.5064 Å, c = 4.5064 Å
α = 60.00°, β = 60.00°, γ = 60.00°
Fractional positions:
Cd 0.0000 0.0000 0.0000
Hg 0.2500 0.2500 0.2500
Os 0.7500 0.7500 0.7500

(2)
Computed, not measured: crystalline CdHgPb2 at its relaxed geometry at the PBE level of DFT.

Computed properties:
electronic total energy: -8.42 eV/cell

a = 5.4244 Å, b = 5.4244 Å, c = 5.4244 Å
α = 60.00°, β = 60.00°, γ = 60.00°
Fractional positions:
Cd 0.5000 0.5000 0.5000
Hg 0.2500 0.2500 0.2500
Pb 0.0000 0.0000 0.0000
Pb 0.7500 0.7500 0.7500

(3)
Computed, not measured: crystalline CdHgPbSe3 at its relaxed geometry at the PBE level of DFT.

Computed properties:
electronic total energy: -34.17 eV/cell

a = 4.1182 Å, b = 7.2301 Å, c = 11.2242 Å
α = 90.00°, β = 90.00°, γ = 73.45°
Fractional positions:
Cd 0.0000 0.0000 0.0000
Cd 0.0000 0.0000 0.5000
Hg 0.5238 0.9524 0.2500
Hg 0.4762 0.0476 0.7500
Pb 0.2341 0.5318 0.2500
Pb 0.7659 0.4682 0.7500
Se 0.6365 0.7271 0.0583
Se 0.8951 0.2098 0.2500
Se 0.6365 0.7271 0.4417
Se 0.3635 0.2729 0.5583
Se 0.1049 0.7902 0.7500
Se 0.3635 0.2729 0.9417

(4)
Computed, not measured: crystalline CdHgPbSe3 at its relaxed geometry at the PBE level of DFT.

Computed properties:
electronic total energy: -34.24 eV/cell

a = 11.7723 Å, b = 7.2728 Å, c = 7.2728 Å
α = 32.81°, β = 90.00°, γ = 90.00°
Fractional positions:
Cd 0.0000 0.4953 0.4953
Cd 0.5000 0.5047 0.5047
Hg 0.2500 0.0000 0.0000
Hg 0.7500 0.0000 0.0000
Pb 0.5000 0.2225 0.2225
Pb 0.0000 0.7775 0.7775
Se 0.0000 0.1182 0.1182
Se 0.1759 0.3739 0.3739
Se 0.8241 0.3739 0.3739
Se 0.3241 0.6261 0.6261
Se 0.6759 0.6261 0.6261
Se 0.5000 0.8818 0.8818

(5)
Computed, not measured: crystalline Sr2CdHgPb2 at its relaxed geometry at the PBE level of DFT.

Computed properties:
electronic total energy: -14.74 eV/cell

a = 5.1217 Å, b = 5.1217 Å, c = 8.2600 Å
α = 90.00°, β = 90.00°, γ = 120.00°
Fractional positions:
Cd 0.0000 0.0000 0.5464
Hg 0.6667 0.3333 0.0500
Pb 0.6667 0.3333 0.4589
Pb 0.0000 0.0000 0.9539
Sr 0.3333 0.6667 0.2431
Sr 0.3333 0.6667 0.7476

(6)
Computed, not measured: crystalline CdHgTe3Pb at its relaxed geometry at the PBE level of DFT.

Computed properties:
electronic total energy: -30.68 eV/cell

a = 7.5759 Å, b = 7.5759 Å, c = 11.8895 Å
α = 90.00°, β = 90.00°, γ = 33.46°
Fractional positions:
Cd 0.0000 0.0000 0.0000
Cd 0.0000 0.0000 0.5000
Hg 0.4729 0.4729 0.2500
Hg 0.5271 0.5271 0.7500
Pb 0.7707 0.7707 0.2500
Pb 0.2293 0.2293 0.7500
Te 0.3594 0.3594 0.0566
Te 0.1045 0.1045 0.2500
Te 0.3594 0.3594 0.4434
Te 0.6406 0.6406 0.5566
Te 0.8955 0.8955 0.7500
Te 0.6406 0.6406 0.9434